Record 1
A plane-wave DFT calculation with PBE was carried out for an optimized crystal structure of Ba2LiTc2N6.

As for the uncorrected formation energy: -0.20 eV per atom. As for the symmetry: No. 2. The calculation puts the total energy at -7.153 eV/atom.

Cell and atoms, written as extended XYZ:
```
11
Lattice="5.071 0.000 0.000 -0.362 6.026 0.000 -0.579 -2.134 6.662" Properties=species:S:1:pos:R:3 pbc="T T T"
Ba 0.758 2.423 1.674
Ba 3.373 1.469 4.988
Li -0.289 -1.067 3.331
Tc 1.690 -1.653 5.383
Tc 2.441 5.545 1.278
N 0.504 3.127 4.391
N 0.816 5.266 1.893
N 0.828 -0.105 5.561
N 3.302 3.997 1.101
N 3.314 -1.373 4.768
N 3.626 0.765 2.271
```

=====

Record 2
A plane-wave DFT calculation with PBE was carried out for an optimized crystal structure of BaLiTeN2.

As for the offset from the most stable computed form: 0.311 eV/atom. As for the uncorrected formation energy: 1.11 eV per atom. As for the symmetry: No. 123. The calculation puts the total energy at -3.617 eV/atom.

Cell and atoms, written as extended XYZ:
```
5
Lattice="5.219 0.000 0.000 0.000 5.219 0.000 0.000 0.000 6.984" Properties=species:S:1:pos:R:3 pbc="T T T"
Ba 0.000 0.000 0.000
Li 2.609 2.609 3.492
Te 0.000 0.000 3.492
N 0.000 2.609 0.000
N 2.609 0.000 0.000
```

=====

Record 3
A plane-wave DFT calculation with PBE was carried out for an optimized crystal structure of Ba2LiTeN.

As for the offset from the most stable computed form: 0.581 eV/atom. As for the uncorrected formation energy: -0.30 eV per atom. As for the symmetry: No. 123. The calculation puts the total energy at -3.749 eV/atom.

Cell and atoms, written as extended XYZ:
```
5
Lattice="5.683 0.000 0.000 0.000 5.683 0.000 0.000 0.000 4.652" Properties=species:S:1:pos:R:3 pbc="T T T"
Ba 0.000 2.842 0.000
Ba 2.842 0.000 0.000
Li 0.000 0.000 2.326
Te 2.842 2.842 2.326
N 2.842 2.842 0.000
```

=====

Record 4
A plane-wave DFT calculation with PBE was carried out for an optimized crystal structure of Ba2LiTeN.

As for the offset from the most stable computed form: 0.000 eV/atom. As for the uncorrected formation energy: -0.88 eV per atom. As for the symmetry: No. 123. The calculation puts the total energy at -4.330 eV/atom.

Cell and atoms, written as extended XYZ:
```
5
Lattice="5.702 0.000 0.000 0.000 5.702 0.000 0.000 0.000 4.346" Properties=species:S:1:pos:R:3 pbc="T T T"
Ba 0.000 2.851 0.000
Ba 2.851 0.000 0.000
Li 0.000 0.000 2.173
Te 2.851 2.851 2.173
N 0.000 0.000 0.000
```

=====

Record 5
A plane-wave DFT calculation with PBE was carried out for an optimized crystal structure of BaLiTeN2.

As for the offset from the most stable computed form: 0.000 eV/atom. As for the uncorrected formation energy: 0.80 eV per atom. As for the symmetry: No. 123. The calculation puts the total energy at -3.928 eV/atom.

Cell and atoms, written as extended XYZ:
```
5
Lattice="4.797 0.000 0.000 0.000 4.797 0.000 0.000 0.000 5.193" Properties=species:S:1:pos:R:3 pbc="T T T"
Ba 0.000 0.000 0.000
Li 2.399 2.399 2.596
Te 2.399 2.399 0.000
N 0.000 2.399 2.596
N 2.399 0.000 2.596
```

=====

Record 6
A plane-wave DFT calculation with PBE was carried out for an optimized crystal structure of BaLiTiN2.

As for the uncorrected formation energy: -0.92 eV per atom. As for the symmetry: No. 12. The calculation puts the total energy at -6.601 eV/atom.

Cell and atoms, written as extended XYZ:
```
10
Lattice="5.720 -1.770 0.000 5.720 1.770 0.000 -1.624 0.000 7.601" Properties=species:S:1:pos:R:3 pbc="T T T"
Ba 1.412 0.000 1.064
Ba 8.404 0.000 6.537
Li 1.243 0.000 4.098
Li 8.572 0.000 3.503
Ti 4.492 0.000 2.477
Ti 5.323 0.000 5.124
N 0.178 0.000 5.879
N 3.551 0.000 4.251
N 6.265 0.000 3.350
N 9.637 0.000 1.722
```

=====

Record 7
A plane-wave DFT calculation with PBE was carried out for an optimized crystal structure of Ba2LiTlN.

As for the uncorrected formation energy: -0.25 eV per atom. As for the symmetry: No. 123. The calculation puts the total energy at -3.537 eV/atom.

Cell and atoms, written as extended XYZ:
```
5
Lattice="5.842 0.000 0.000 0.000 5.842 0.000 0.000 0.000 4.178" Properties=species:S:1:pos:R:3 pbc="T T T"
Ba 0.000 2.921 0.000
Ba 2.921 0.000 0.000
Li 0.000 0.000 2.089
Tl 2.921 2.921 2.089
N 0.000 0.000 0.000
```

=====

Record 8
A plane-wave DFT calculation with PBE was carried out for an optimized crystal structure of Ba2Li2UN4.

As for the uncorrected formation energy: -0.83 eV per atom. As for the symmetry: No. 12. The calculation puts the total energy at -6.633 eV/atom.

Cell and atoms, written as extended XYZ:
```
9
Lattice="6.304 -1.803 0.000 6.304 1.803 0.000 -2.322 0.000 6.013" Properties=species:S:1:pos:R:3 pbc="T T T"
Ba 1.619 0.000 0.522
Ba 8.666 0.000 5.490
Li 2.873 0.000 3.070
Li 7.412 0.000 2.943
U -1.161 0.000 3.006
N 0.800 0.000 3.890
N 4.465 0.000 4.274
N 5.820 0.000 1.739
N 9.485 0.000 2.122
```

=====

Question: Which formula does entry 1 have?
Answer: Ba2LiTc2N6